# 1
Entry from the Alexandria database: a geometry-optimized SrMgAl structure (PBE-GGA).

Output
**Calculated formation energy**: -150 meV/atom
**Symmetry**: C2/m, No. 12

abc: 8.1010 5.0020 11.7446
angles: 90.00 133.27 90.00
With the nearest neighbours (Å) after each atom.
Sites, in units of the cell vectors:
Sr1 0.8035 0.0000 0.5537  6 Mg 3.46-3.82, 6 Al 3.46-3.84
Sr2 0.1965 0.0000 0.4463  6 Mg 3.46-3.82, 6 Al 3.46-3.84
Sr3 0.8035 0.5000 0.0537  6 Mg 3.46-3.82, 6 Al 3.46-3.84
Sr4 0.1965 0.5000 0.9463  6 Mg 3.46-3.82, 6 Al 3.46-3.84
Mg1 0.4061 0.0000 0.8231  3 Al 2.92-3.02
Mg2 0.5939 0.0000 0.1769  3 Al 2.92-3.02
Mg3 0.4061 0.5000 0.3231  3 Al 2.92-3.02
Mg4 0.5939 0.5000 0.6769  3 Al 2.92-3.02
Al1 0.8041 0.0000 0.8498  1 Al 2.68, 2 Mg 2.92
Al2 0.1959 0.0000 0.1502  1 Al 2.68, 2 Mg 2.92
Al3 0.8041 0.5000 0.3498  1 Al 2.68, 2 Mg 2.92
Al4 0.1959 0.5000 0.6502  1 Al 2.68, 2 Mg 2.92


# 2
Entry from the Alexandria database: a geometry-optimized SrMg4Al2 structure (PBE-GGA).

Output
**Calculated formation energy**: -8 meV/atom
**Symmetry**: C2/m, No. 12

abc: 5.7424 6.1123 6.1129
angles: 72.89 62.62 62.62
With the nearest neighbours (Å) after each atom.
Sites, in units of the cell vectors:
Sr1 0.0000 0.0000 0.0000  12 Mg 3.32-3.58
Mg1 0.6877 0.6107 0.0139  4 Mg 2.93-3.14, 4 Al 3.01-3.23
Mg2 0.3123 0.3893 0.9861  4 Mg 2.93-3.14, 4 Al 3.01-3.23
Mg3 0.6877 0.0138 0.6107  4 Mg 2.93-3.14, 4 Al 3.01-3.23
Mg4 0.3123 0.9862 0.3893  4 Mg 2.93-3.14, 4 Al 3.01-3.23
Al1 0.7614 0.4977 0.4977  2 Al 2.77-2.98, 4 Mg 3.01-3.05
Al2 0.2386 0.5023 0.5023  2 Al 2.77-2.98, 4 Mg 3.01-3.05


# 3
Entry from the Alexandria database: a geometry-optimized Sr4Mg3Al5 structure (PBE-GGA).

Output
**Calculated formation energy**: -190 meV/atom
**Symmetry**: P6_3/mmc, No. 194

abc: 6.0692 6.0692 19.8487
angles: 90.00 90.00 120.00
With the nearest neighbours (Å) after each atom.
Sites, in units of the cell vectors:
Sr1 0.3333 0.6667 0.6613  9 Al 3.51-3.52, 4 Sr 3.52-3.69, 3 Mg 3.65
Sr2 0.6667 0.3333 0.3387  9 Al 3.51-3.52, 4 Sr 3.52-3.69, 3 Mg 3.65
Sr3 0.6667 0.3333 0.1613  9 Al 3.51-3.52, 4 Sr 3.52-3.69, 3 Mg 3.65
Sr4 0.3333 0.6667 0.8387  9 Al 3.51-3.52, 4 Sr 3.52-3.69, 3 Mg 3.65
Sr5 0.0000 0.0000 0.1024  6 Al 3.38-3.59, 6 Mg 3.65, 3 Sr 3.69
Sr6 0.0000 0.0000 0.8976  6 Al 3.38-3.59, 6 Mg 3.65, 3 Sr 3.69
Sr7 0.0000 0.0000 0.6024  6 Al 3.38-3.59, 6 Mg 3.65, 3 Sr 3.69
Sr8 0.0000 0.0000 0.3976  6 Al 3.38-3.59, 6 Mg 3.65, 3 Sr 3.69
Mg1 0.5000 0.0000 0.0000  4 Mg 3.03, 2 Al 3.33
Mg2 0.0000 0.5000 0.0000  4 Mg 3.03, 2 Al 3.33
Mg3 0.5000 0.0000 0.5000  4 Mg 3.03, 2 Al 3.33
Mg4 0.5000 0.5000 0.0000  4 Mg 3.03, 2 Al 3.33
Mg5 0.0000 0.5000 0.5000  4 Mg 3.03, 2 Al 3.33
Mg6 0.5000 0.5000 0.5000  4 Mg 3.03, 2 Al 3.33
Al1 0.3333 0.6667 0.1424  3 Al 2.80
Al2 0.6667 0.3333 0.8576  3 Al 2.80
Al3 0.6667 0.3333 0.6424  3 Al 2.80
Al4 0.3333 0.6667 0.3576  3 Al 2.80
Al5 0.1610 0.3221 0.2500  4 Al 2.80-2.93
Al6 0.8390 0.6779 0.7500  4 Al 2.80-2.93
Al7 0.6779 0.8390 0.2500  4 Al 2.80-2.93
Al8 0.3221 0.1610 0.7500  4 Al 2.80-2.93
Al9 0.1610 0.8390 0.2500  4 Al 2.80-2.93
Al10 0.8390 0.1610 0.7500  4 Al 2.80-2.93


# 4
Entry from the Alexandria database: a geometry-optimized Sr2MgAl structure (PBE-GGA).

Output
**Calculated formation energy**: 263 meV/atom
**Symmetry**: I-42d, No. 122

abc: 9.1212 9.1212 7.3989
angles: 51.95 51.95 90.00
With the nearest neighbours (Å) after each atom.
Sites, in units of the cell vectors:
Sr1 0.6468 0.1250 0.2500  2 Al 3.22, 2 Mg 3.49
Sr2 0.1032 0.6250 0.2500  2 Al 3.22, 2 Mg 3.49
Sr3 0.3750 0.3532 0.7500  2 Al 3.22, 2 Mg 3.49
Sr4 0.8750 0.8968 0.7500  2 Al 3.22, 2 Mg 3.49
Mg1 0.5000 0.5000 0.0000  4 Sr 3.49, 2 Al 3.63
Mg2 0.2500 0.7500 0.5000  4 Sr 3.49, 2 Al 3.63
Al1 0.0000 0.0000 0.0000  4 Sr 3.22
Al2 0.7500 0.2500 0.5000  4 Sr 3.22


Number 1: energy -29.88 eV/cell. Number 2: energy -15.60 eV/cell. Number 3: energy -65.00 eV/cell. Number 4: energy -15.30 eV/cell.